## Sm6Dy3YEr2 (GGA-PBE)

Data for a relaxed structure of Sm6Dy3YEr2.

```
data_Sm6Dy3YEr2
_chemical_formula_sum 'Sm12 Dy6 Y2 Er4'
_space_group_name_H-M_alt 'C 1 2/m 1'
_space_group_IT_number 12
_space_group_name_Hall '-C 2y'
_cell_length_a 6.216
_cell_length_b 10.760
_cell_length_c 11.811
_cell_angle_alpha 90.00
_cell_angle_beta 100.04
_cell_angle_gamma 90.00
loop_
_atom_site_label
_atom_site_type_symbol
_atom_site_fract_x
_atom_site_fract_y
_atom_site_fract_z
_atom_site_occupancy
Sm1 Sm 0.249 0.000 0.250 1
Sm2 Sm 0.249 0.167 0.750 1
Dy1 Dy 0.000 0.000 0.500 1
Dy2 Dy 0.000 0.333 0.500 1
Y1 Y 0.000 0.500 0.000 1
Er1 Er 0.000 0.167 0.000 1
```

Calculated values
M_tot in μB per formula unit: 0.0
Formation energy from the elements in kJ/mol of formula units: 16
DOS at the Fermi energy in states/eV/f.u.: 14.42
Electronic total energy in eV for the cell shown: -115.1
ρ in g/cm3: 7.74